Entry 1:
Density functional theory data (PBE-GGA) for an optimized crystal structure of ErTlHgO3.

Calculated values
E: -5.3760 eV per atom

Cell and atoms, written as CIF:
```
data_ErTlHgO3
_chemical_formula_sum 'Er2 Tl2 Hg2 O6'
_space_group_name_H-M_alt 'P 1'
_space_group_IT_number 1
_space_group_name_Hall 'P 1'
_cell_length_a 6.985
_cell_length_b 6.985
_cell_length_c 8.791
_cell_angle_alpha 90.00
_cell_angle_beta 90.00
_cell_angle_gamma 151.13
loop_
_atom_site_label
_atom_site_type_symbol
_atom_site_fract_x
_atom_site_fract_y
_atom_site_fract_z
_atom_site_occupancy
Er1 Er 0.000 0.000 0.000 1
Er2 Er 0.000 0.000 0.500 1
Tl1 Tl 0.334 0.666 0.750 1
Tl2 Tl 0.666 0.334 0.250 1
Hg1 Hg 0.347 0.653 0.250 1
Hg2 Hg 0.653 0.347 0.750 1
O1 O 0.043 0.957 0.250 1
O2 O 0.395 0.605 0.022 1
O3 O 0.395 0.605 0.478 1
O4 O 0.605 0.395 0.522 1
O5 O 0.605 0.395 0.978 1
O6 O 0.957 0.043 0.750 1
```

Entry 2:
Density functional theory data (PBE-GGA) for an optimized crystal structure of SrNbNi.

Calculated values
polymorph energy (0 for the lowest one): 0.000 eV per atom
E: -4.8722 eV per atom

Cell and atoms, written as CIF:
```
data_SrNbNi
_chemical_formula_sum 'Sr1 Nb1 Ni1'
_space_group_name_H-M_alt 'P 1'
_space_group_IT_number 1
_space_group_name_Hall 'P 1'
_cell_length_a 4.642
_cell_length_b 4.642
_cell_length_c 4.642
_cell_angle_alpha 60.00
_cell_angle_beta 60.00
_cell_angle_gamma 60.00
loop_
_atom_site_label
_atom_site_type_symbol
_atom_site_fract_x
_atom_site_fract_y
_atom_site_fract_z
_atom_site_occupancy
Sr1 Sr 0.000 0.000 0.000 1
Nb1 Nb 0.500 0.500 0.500 1
Ni1 Ni 0.750 0.750 0.750 1
```

Entry 3:
Density functional theory data (PBE-GGA) for an optimized crystal structure of HoTmCuS3.

Calculated values
E: -5.7008 eV per atom

Cell and atoms, written as CIF:
```
data_HoTmCuS3
_chemical_formula_sum 'Ho2 Tm2 Cu2 S6'
_space_group_name_H-M_alt 'P 1'
_space_group_IT_number 1
_space_group_name_Hall 'P 1'
_cell_length_a 3.699
_cell_length_b 10.133
_cell_length_c 6.486
_cell_angle_alpha 90.00
_cell_angle_beta 105.71
_cell_angle_gamma 90.00
loop_
_atom_site_label
_atom_site_type_symbol
_atom_site_fract_x
_atom_site_fract_y
_atom_site_fract_z
_atom_site_occupancy
Ho1 Ho 0.000 0.000 0.000 1
Ho2 Ho 0.000 0.500 0.000 1
Tm1 Tm 0.220 0.250 0.458 1
Tm2 Tm 0.780 0.750 0.542 1
Cu1 Cu 0.496 0.750 0.962 1
Cu2 Cu 0.504 0.250 0.038 1
S1 S 0.107 0.750 0.199 1
S2 S 0.360 0.581 0.710 1
S3 S 0.360 0.919 0.710 1
S4 S 0.640 0.081 0.290 1
S5 S 0.640 0.419 0.290 1
S6 S 0.893 0.250 0.801 1
```

Entry 4:
Density functional theory data (PBE-GGA) for an optimized crystal structure of BeTePdO.

Calculated values
polymorph energy (0 for the lowest one): 0.000 eV per atom
E: -5.6808 eV per atom

Cell and atoms, written as CIF:
```
data_BeTePdO
_chemical_formula_sum 'Be4 Te4 Pd4 O4'
_space_group_name_H-M_alt 'P 1'
_space_group_IT_number 1
_space_group_name_Hall 'P 1'
_cell_length_a 5.181
_cell_length_b 10.694
_cell_length_c 4.797
_cell_angle_alpha 90.00
_cell_angle_beta 90.00
_cell_angle_gamma 90.00
loop_
_atom_site_label
_atom_site_type_symbol
_atom_site_fract_x
_atom_site_fract_y
_atom_site_fract_z
_atom_site_occupancy
Be1 Be 0.125 0.005 0.000 1
Be2 Be 0.375 0.005 0.500 1
Be3 Be 0.625 0.995 0.000 1
Be4 Be 0.875 0.995 0.500 1
Te1 Te 0.001 0.313 0.958 1
Te2 Te 0.499 0.313 0.458 1
Te3 Te 0.501 0.687 0.958 1
Te4 Te 0.999 0.687 0.458 1
Pd1 Pd 0.000 0.426 0.458 1
Pd2 Pd 0.000 0.574 0.958 1
Pd3 Pd 0.500 0.426 0.958 1
Pd4 Pd 0.500 0.574 0.458 1
O1 O 0.125 0.008 0.326 1
O2 O 0.375 0.008 0.826 1
O3 O 0.625 0.992 0.326 1
O4 O 0.875 0.992 0.826 1
```

Entry 5:
Density functional theory data (PBE-GGA) for an optimized crystal structure of BaTcPO.

Calculated values
polymorph energy (0 for the lowest one): 0.177 eV per atom
E: -6.6621 eV per atom

Cell and atoms, written as CIF:
```
data_BaTcPO
_chemical_formula_sum 'Ba2 Tc2 P2 O2'
_space_group_name_H-M_alt 'P 1'
_space_group_IT_number 1
_space_group_name_Hall 'P 1'
_cell_length_a 4.039
_cell_length_b 7.111
_cell_length_c 6.488
_cell_angle_alpha 90.00
_cell_angle_beta 90.00
_cell_angle_gamma 90.00
loop_
_atom_site_label
_atom_site_type_symbol
_atom_site_fract_x
_atom_site_fract_y
_atom_site_fract_z
_atom_site_occupancy
Ba1 Ba 0.000 0.212 0.000 1
Ba2 Ba 0.000 0.788 0.500 1
Tc1 Tc 0.500 0.387 0.571 1
Tc2 Tc 0.500 0.613 0.071 1
P1 P 0.000 0.241 0.498 1
P2 P 0.000 0.759 0.998 1
O1 O 0.500 0.401 0.871 1
O2 O 0.500 0.599 0.371 1
```

Entry 6:
Density functional theory data (PBE-GGA) for an optimized crystal structure of YLu6Fe2Te2.

Calculated values
E: -5.6463 eV per atom

Cell and atoms, written as CIF:
```
data_YLu6Fe2Te2
_chemical_formula_sum 'Y1 Lu6 Fe2 Te2'
_space_group_name_H-M_alt 'P 1'
_space_group_IT_number 1
_space_group_name_Hall 'P 1'
_cell_length_a 9.188
_cell_length_b 9.188
_cell_length_c 9.188
_cell_angle_alpha 155.95
_cell_angle_beta 65.18
_cell_angle_gamma 120.44
loop_
_atom_site_label
_atom_site_type_symbol
_atom_site_fract_x
_atom_site_fract_y
_atom_site_fract_z
_atom_site_occupancy
Y1 Y 0.000 0.000 0.000 1
Lu1 Lu 0.279 0.417 0.862 1
Lu2 Lu 0.313 0.627 0.687 1
Lu3 Lu 0.555 0.417 0.138 1
Lu4 Lu 0.611 0.263 0.348 1
Lu5 Lu 0.915 0.263 0.652 1
Lu6 Lu 0.940 0.627 0.313 1
Fe1 Fe 0.170 0.933 0.237 1
Fe2 Fe 0.696 0.933 0.763 1
Te1 Te 0.269 0.769 0.500 1
Te2 Te 0.661 0.661 0.000 1
```

Entry 7:
Density functional theory data (PBE-GGA) for an optimized crystal structure of Nb8Ni2C3N3.

Calculated values
E: -9.5526 eV per atom

Cell and atoms, written as CIF:
```
data_Nb8Ni2C3N3
_chemical_formula_sum 'Nb8 Ni2 C3 N3'
_space_group_name_H-M_alt 'P 1'
_space_group_IT_number 1
_space_group_name_Hall 'P 1'
_cell_length_a 3.145
_cell_length_b 3.145
_cell_length_c 23.102
_cell_angle_alpha 90.00
_cell_angle_beta 90.00
_cell_angle_gamma 120.00
loop_
_atom_site_label
_atom_site_type_symbol
_atom_site_fract_x
_atom_site_fract_y
_atom_site_fract_z
_atom_site_occupancy
Nb1 Nb 0.000 0.000 0.162 1
Nb2 Nb 0.000 0.000 0.334 1
Nb3 Nb 0.000 0.000 0.666 1
Nb4 Nb 0.000 0.000 0.838 1
Nb5 Nb 0.333 0.667 0.558 1
Nb6 Nb 0.333 0.667 0.941 1
Nb7 Nb 0.667 0.333 0.059 1
Nb8 Nb 0.667 0.333 0.442 1
Ni1 Ni 0.333 0.667 0.753 1
Ni2 Ni 0.667 0.333 0.247 1
C1 C 0.000 0.000 0.500 1
C2 C 0.333 0.667 0.385 1
C3 C 0.667 0.333 0.615 1
N1 N 0.000 0.000 0.000 1
N2 N 0.333 0.667 0.114 1
N3 N 0.667 0.333 0.886 1
```

Entry 8:
Density functional theory data (PBE-GGA) for an optimized crystal structure of DyTm2Se3.

Calculated values
E: -5.6876 eV per atom

Cell and atoms, written as CIF:
```
data_DyTm2Se3
_chemical_formula_sum 'Dy1 Tm2 Se3'
_space_group_name_H-M_alt 'P 1'
_space_group_IT_number 1
_space_group_name_Hall 'P 1'
_cell_length_a 4.014
_cell_length_b 4.014
_cell_length_c 9.921
_cell_angle_alpha 90.00
_cell_angle_beta 90.00
_cell_angle_gamma 120.00
loop_
_atom_site_label
_atom_site_type_symbol
_atom_site_fract_x
_atom_site_fract_y
_atom_site_fract_z
_atom_site_occupancy
Dy1 Dy 0.000 0.000 0.000 1
Tm1 Tm 0.333 0.667 0.667 1
Tm2 Tm 0.667 0.333 0.333 1
Se1 Se 0.000 0.000 0.500 1
Se2 Se 0.333 0.667 0.171 1
Se3 Se 0.667 0.333 0.829 1
```